No. 1
Computed, not measured: an optimized crystal structure of HfAlRu at the PBE level of DFT.

a b c (Å): 3.194 3.194 9.726
angles (deg): 90.00 90.00 90.00
Fractional positions:
Ru: 0.000 0.000 0.764
Ru: 0.000 0.000 0.107
Hf: 0.500 0.500 0.939
Hf: 0.500 0.500 0.279
Al: 0.500 0.500 0.634
Al: 0.000 0.000 0.473

Results
Formation enthalpy at 0 K = -182 kJ/mol of formula units
Symmetry = No. 99

=====

No. 2
Computed, not measured: an optimized crystal structure of YGa2Ni at the PBE level of DFT.

a b c (Å): 4.542 4.542 8.816
angles (deg): 75.07 75.07 90.00
Fractional positions:
Y: 0.000 0.000 0.000
Y: 0.750 0.250 0.500
Ni: 0.500 0.500 0.000
Ni: 0.250 0.750 0.500
Ga: 0.461 0.125 0.250
Ga: 0.289 0.625 0.250
Ga: 0.375 0.539 0.750
Ga: 0.875 0.711 0.750

Results
Formation enthalpy at 0 K = -91 kJ/mol of formula units
Symmetry = No. 122

=====

No. 3
Computed, not measured: an optimized crystal structure of GePOF2 at the PBE level of DFT.

a b c (Å): 4.249 4.249 3.807
angles (deg): 90.00 90.00 90.00
Each line ends with the local moment (μB).
Fractional positions:
P: 0.500 0.500 0.500  0.95
Ge: 0.000 0.000 0.000  -0.02
O: 0.000 0.000 0.500  0.01
F: 0.000 0.500 0.000  0.07
F: 0.500 0.000 0.000  0.07

Results
Offset from the most stable computed form = 182 meV/atom
Symmetry = No. 123

=====

No. 4
Computed, not measured: an optimized crystal structure of Mn2ZnPt at the PBE level of DFT.

a b c (Å): 8.754 8.754 8.754
angles (deg): 17.93 17.93 17.93
Each line ends with the local moment (μB).
Fractional positions:
Mn: 0.997 0.997 0.997  -2.65
Mn: 0.254 0.254 0.254  2.82
Pt: 0.502 0.502 0.502  0.11
Zn: 0.748 0.748 0.748  -0.01

Results
Formation enthalpy at 0 K = -28 kJ/mol of formula units
Symmetry = No. 160

=====

| no. | magnetic moment (μB/cell) | N(E_F) (states/eV/cell) |
| --- | --- | --- |
| 1 | 0.00 | 1.38 |
| 2 | 0.00 | 4.70 |
| 3 | 2.10 | 4.30 |
| 4 | 0.26 | 3.04 |